Below is a relaxed NpTaMo crystal, with properties calculated at the PBE level.

abc: 4.4392 4.4392 22.7432
angles: 90.00 90.00 120.00
Space group R-3m (No. 166, hexagonal axes)
One atom of each set of equivalent atoms:
Np: 0.0000 0.0000 0.1816 x6
Ta: 0.0000 0.0000 0.0618 x6
Mo: 0.0000 0.0000 0.4334 x6

**E**: -196.22 eV per cell
**Energy relative to the elements**: 93.9 kJ/mol of atoms